No. 1
Below is an optimized crystal structure of La4Fe3C5, with properties calculated at the GGA-PBE level.

Properties
* volume: 207 Å³ per cell
* energy relative to the elements: -3.29 kcal/mol of atoms
* space-group type: C2/m
* spin magnetization: 2.491 Bohr magnetons per cell

abc: 3.9084 6.1211 9.5633
angles: 73.91 78.21 71.38
Fractional coordinates of all 12 atoms:
La1 0.1023 0.6887 0.1067
La2 0.8977 0.3113 0.8933
La3 0.7467 0.1699 0.3367
La4 0.2533 0.8301 0.6633
Fe1 0.4605 0.7431 0.3359
Fe2 0.0000 0.5000 0.5000
Fe3 0.5395 0.2569 0.6641
C1 0.5000 0.5000 0.5000
C2 0.3997 0.0119 0.1886
C3 0.6003 0.9881 0.8114
C4 0.3204 0.2428 0.1164
C5 0.6796 0.7572 0.8836

---

No. 2
Below is an optimized crystal structure of ScAsIr4, with properties calculated at the GGA-PBE level.

Properties
* volume: 102 Å³ per cell
* energy relative to the elements: -2.16 kcal/mol of atoms
* space-group type: F-43m
* spin magnetization: 0.000 Bohr magnetons per cell

abc: 5.2368 5.2368 5.2368
angles: 60.00 60.00 60.00
Fractional coordinates of all 6 atoms:
Ir1 0.3748 0.3748 0.3748
Ir2 0.3748 0.8755 0.3748
Ir3 0.3748 0.3748 0.8755
Ir4 0.8755 0.3748 0.3748
As1 0.0000 0.0000 0.0000
Sc1 0.7500 0.7500 0.7500

---

No. 3
Below is an optimized crystal structure of MgCo2Ir, with properties calculated at the GGA-PBE level.

Properties
* volume: 55 Å³ per cell
* energy relative to the elements: 4.20 kcal/mol of atoms
* space-group type: Cmm2
* spin magnetization: 3.675 Bohr magnetons per cell

abc: 2.6596 2.6596 8.4470
angles: 90.00 90.00 114.14
Fractional coordinates of all 4 atoms:
Mg1 0.5000 0.5000 0.7564
Co1 0.5000 0.5000 0.2375
Co2 0.0000 0.0000 0.0155
Ir1 0.0000 0.0000 0.4905